First-principles (PBE) data for a relaxed structure of Na2SrIrCl8, as listed in Alexandria via LeMat-Bulk.

Total energy (eV/atom): -3.67
Uncorrected formation energy (eV per formula unit): -16.09
Theoretical density (g/cm3): 3.0
Total magnetization (μB per cell): 1.1
Volume (Å³/f.u.): 337.20
Fermi-level density of states (states/eV per cell): 5.605

```
Na2SrIrCl8
1.0
6.4023 -0.0382 0.0020
0.0007 6.3083 0.0010
0.0130 0.0202 8.3491
Cl Ir Na Sr
8 1 2 1
Direct
0.6614 0.7206 0.5011 Cl
0.3012 0.2086 0.0005 Cl
0.8559 0.2190 0.7993 Cl
0.3386 0.2794 0.4989 Cl
0.6988 0.7914 0.9995 Cl
0.1460 0.7827 0.7996 Cl
0.1441 0.7810 0.2007 Cl
0.8540 0.2173 0.2004 Cl
0.0000 0.0000 0.0000 Ir
0.5018 0.5026 0.2516 Na
0.4982 0.4974 0.7484 Na
0.0000 0.0000 0.5000 Sr
```